Entry 1:
Here is a relaxed Pr2Nd6Hg crystal from the Alexandria database. Energies are from PBE.

Summary:
SG = Immm
total energy = -4.282 eV/atom
ΔE to the lowest computed polymorph = 0.084 eV/atom
DOS(E_F) = 11.7 states/eV per cell

Lattice parameters (Å, degrees): 3.693 10.599 9.723 123.03 100.96 90.00
Fractional coordinates of all 9 atoms:
Pr: 0.140 0.639 0.279
Pr: 0.860 0.361 0.721
Nd: 0.182 0.339 0.363
Nd: 0.182 0.024 0.363
Nd: 0.818 0.976 0.637
Nd: 0.500 0.269 0.000
Nd: 0.500 0.731 0.000
Nd: 0.818 0.661 0.637
Hg: 0.000 0.000 0.000

---

Entry 2:
Here is a relaxed RbMnNi2Cl8 crystal from the Alexandria database. Energies are from PBE.

Summary:
SG = R-3
raw formation energy = -0.8280 eV/atom
total energy = -3.867 eV/atom
DOS(E_F) = 8.8 states/eV per cell

Lattice parameters (Å, degrees): 6.179 6.179 10.219 72.40 72.40 60.00
Fractional coordinates of all 12 atoms:
Ni: 0.732 0.732 0.803
Ni: 0.268 0.268 0.197
Cl: 0.653 0.259 0.141
Cl: 0.347 0.741 0.859
Cl: 0.741 0.053 0.859
Cl: 0.947 0.653 0.141
Cl: 0.191 0.191 0.426
Cl: 0.259 0.947 0.141
Cl: 0.053 0.347 0.859
Cl: 0.809 0.809 0.574
Rb: 0.500 0.500 0.500
Mn: 0.000 0.000 0.000

---

Entry 3:
Here is a relaxed RbTa2CdGa crystal from the Alexandria database. Energies are from PBE.

Summary:
SG = P4/mmm
total energy = -2.939 eV/atom
DOS(E_F) = 9.4 states/eV per cell

Lattice parameters (Å, degrees): 4.959 5.348 4.959 90.00 90.00 90.00
Fractional coordinates of all 5 atoms:
Ta: 0.500 0.000 0.000
Ta: 0.000 0.000 0.500
Cd: 0.500 0.500 0.500
Rb: 0.000 0.000 0.000
Ga: 0.000 0.500 0.000

---

Entry 4:
Here is a relaxed HfPO6 crystal from the Alexandria database. Energies are from PBE.

Summary:
SG = Fm-3m
raw formation energy = -1.8213 eV/atom
total energy = -7.460 eV/atom
DOS(E_F) = 5.0 states/eV per cell

Lattice parameters (Å, degrees): 5.246 5.247 5.249 60.00 60.00 59.99
Fractional coordinates of all 8 atoms:
O: 0.224 0.776 0.777
O: 0.224 0.223 0.777
O: 0.776 0.224 0.777
O: 0.776 0.777 0.223
O: 0.776 0.224 0.223
O: 0.224 0.776 0.223
Hf: 0.500 0.500 0.500
P: 0.000 0.000 0.000

---

The evaluated spin magnetization for the records listed, in turn: 0.00, 5.94, 0.72, 0.00 μB/cell.